Compound: TaSeS2
Source: the Alexandria database
Functional: PBE-GGA
Structure: relaxed

Results
Formation energy from raw total energies in meV per atom: -672

Unit cell a=3.350 b=6.954 c=7.604 alpha=90.00 beta=90.00 gamma=103.90
Atoms (fractional coordinates):
S 0.661 0.321 0.067
S 0.339 0.679 0.933
S 0.661 0.321 0.433
S 0.339 0.679 0.567
Ta 0.255 0.510 0.250
Ta 0.745 0.490 0.750
Se 0.097 0.194 0.750
Se 0.903 0.806 0.250


Compound: MgCdSi4
Source: the Alexandria database
Functional: PBE-GGA
Structure: relaxed

Results
Formation energy from raw total energies in meV per atom: 334

Unit cell a=5.263 b=5.263 c=5.263 alpha=60.00 beta=60.00 gamma=60.00
Atoms (fractional coordinates):
Si 0.374 0.374 0.879
Si 0.374 0.879 0.374
Si 0.879 0.374 0.374
Si 0.374 0.374 0.374
Mg 0.000 0.000 0.000
Cd 0.750 0.750 0.750


Compound: La3TbPu2Te6
Source: the Alexandria database
Functional: PBE-GGA
Structure: relaxed

Results
Formation energy from raw total energies in meV per atom: -1388

Unit cell a=7.764 b=7.764 c=7.837 alpha=99.51 beta=99.51 gamma=119.99
Last column: magnetic moment on the atom in μB.
Atoms (fractional coordinates):
La 0.168 0.832 0.500  0.04
La 0.832 0.168 0.500  0.04
La 0.500 0.500 0.500  0.04
Te 0.410 0.079 0.237  -0.03
Te 0.749 0.749 0.239  -0.03
Te 0.590 0.921 0.763  -0.03
Te 0.251 0.251 0.761  -0.03
Te 0.921 0.590 0.763  -0.03
Te 0.079 0.410 0.237  -0.03
Pu 0.334 0.666 0.000  5.55
Pu 0.666 0.334 0.000  5.55
Tb 0.000 0.000 0.000  0.07


Repeat the second record exactly.
Compound: MgCdSi4
Source: the Alexandria database
Functional: PBE-GGA
Structure: relaxed

Results
Formation energy from raw total energies in meV per atom: 334

Unit cell a=5.263 b=5.263 c=5.263 alpha=60.00 beta=60.00 gamma=60.00
Atoms (fractional coordinates):
Si 0.374 0.374 0.879
Si 0.374 0.879 0.374
Si 0.879 0.374 0.374
Si 0.374 0.374 0.374
Mg 0.000 0.000 0.000
Cd 0.750 0.750 0.750


> Which formula does entry 3 have?

La3TbPu2Te6